Entry 1:
This record from Alexandria via LeMat-Bulk describes an optimized crystal structure of CsRb2AgSb. The functional is PBE-GGA.

Space group ... P4/mmm
M_tot ... 0.5 μB/f.u.
E_form (uncorrected) ... -107.3 meV/atom

Cell: 6.7647 6.7647 5.4547 Å, 90.00 90.00 90.00°
Last column: nearest neighbours and their distance in Å.
Fractional positions:
Rb 0.0000 0.5000 0.0000  2 Ag 3.38
Sb 0.0000 0.0000 0.5000  2 Ag 2.73
Ag 0.0000 0.0000 0.0000  2 Sb 2.73
Rb 0.5000 0.0000 0.0000  2 Ag 3.38
Cs 0.5000 0.5000 0.5000  8 Rb 4.34, 4 Sb 4.78



Entry 2:
This record from Alexandria via LeMat-Bulk describes an optimized crystal structure of Nb2InBr6. The functional is PBE-GGA.

Space group ... P-1
M_tot ... 0.0 μB/f.u.
E_form (uncorrected) ... -776.3 meV/atom

Cell: 3.5786 8.4351 9.7449 Å, 99.28 78.48 113.89°
Last column: nearest neighbours and their distance in Å.
Fractional positions:
Nb 0.8593 0.5501 0.3875  6 Br 2.62-2.73
Br 0.5132 0.2402 0.4790  3 Nb 2.62-2.66
In 0.0000 0.0000 0.0000  6 Br 3.15-3.49
Br 0.4868 0.7598 0.5210  3 Nb 2.62-2.66
Br 0.6791 0.5972 0.8013  2 Nb 2.72
Br 0.2028 0.8103 0.2113  1 Nb 2.73
Br 0.7972 0.1897 0.7887  1 Nb 2.73
Br 0.3209 0.4028 0.1987  2 Nb 2.72
Nb 0.1407 0.4499 0.6125  6 Br 2.62-2.73



Entry 3:
This record from Alexandria via LeMat-Bulk describes an optimized crystal structure of Nd4Y7Sc. The functional is PBE-GGA.

Space group ... C2/m
M_tot ... 0.4 μB/f.u.
Energy of formation ... 183 meV/atom

Cell: 5.3656 13.3407 6.3629 Å, 94.88 65.06 78.40°
Last column: nearest neighbours and their distance in Å.
Fractional positions:
Y 0.5000 0.0000 0.0000  2 Sc 2.68
Y 0.3269 0.5351 0.8111  2 Nd 3.42-3.71, 8 Y 3.53-3.73
Sc 0.0000 0.0000 0.0000  2 Y 2.68, 2 Nd 3.00
Nd 0.4152 0.2624 0.9072  3 Nd 3.48-3.61, 7 Y 3.57-3.83
Y 0.0415 0.3707 0.5464  5 Nd 3.51-3.83, 7 Y 3.52-3.73
Y 0.9585 0.6293 0.4536  5 Nd 3.51-3.83, 7 Y 3.52-3.73
Nd 0.2542 0.7843 0.7073  1 Sc 3.00
Y 0.6731 0.4649 0.1889  2 Nd 3.42-3.71, 8 Y 3.53-3.73
Y 0.1652 0.1002 0.5694  1 Sc 3.02, 1 Y 3.30
Nd 0.5848 0.7376 0.0928  3 Nd 3.48-3.61, 7 Y 3.57-3.83
Nd 0.7458 0.2157 0.2927  1 Sc 3.00
Y 0.8348 0.8998 0.4306  1 Sc 3.02, 1 Y 3.30



Question: The lowest M_tot belongs to which entry?
Answer: Nb2InBr6



Question: Which of these has the highest M_tot?
Answer: CsRb2AgSb